[1]
DFT (PBE) results for crystalline Pu2InSe6 at its relaxed geometry.

CIF file:
```
data_Pu2InSe6
_chemical_formula_sum 'Pu4 In2 Se12'
_cell_length_a 6.5558
_cell_length_b 6.5558
_cell_length_c 12.5568
_cell_angle_alpha 90.00
_cell_angle_beta 90.00
_cell_angle_gamma 90.00
_space_group_name_H-M_alt 'P 42/m n m'
_space_group_IT_number 136
_space_group_name_Hall '-P 4n 2n'
loop_
_atom_site_label
_atom_site_fract_x
_atom_site_fract_y
_atom_site_fract_z
_atom_site_occupancy
Pu1 0.0000 0.0000 0.1678 1
In1 0.0000 0.0000 0.5000 1
Se1 0.1942 0.1942 0.0000 1
Se2 0.1995 0.1995 0.3350 1
```

Output
- theoretical density (g cm⁻³) = 6.63
- formation energy without anion corrections (eV/atom) = -0.789
- Fermi-level density of states (states/eV per cell) = 40.23



[2]
DFT (PBE) results for crystalline TcP4W at its relaxed geometry.

CIF file:
```
data_TcP4W
_chemical_formula_sum 'Tc4 P16 W4'
_cell_length_a 6.9056
_cell_length_b 6.9056
_cell_length_c 6.9056
_cell_angle_alpha 90.00
_cell_angle_beta 90.00
_cell_angle_gamma 90.00
_space_group_name_H-M_alt 'F -4 3 m'
_space_group_IT_number 216
_space_group_name_Hall 'F -4 2 3'
loop_
_atom_site_label
_atom_site_fract_x
_atom_site_fract_y
_atom_site_fract_z
_atom_site_occupancy
Tc1 0.0000 0.0000 0.0000 1
P1 0.1246 0.1246 0.3754 1
W1 0.2500 0.2500 0.7500 1
```

Output
- theoretical density (g cm⁻³) = 8.18
- Fermi-level density of states (states/eV per cell) = 15.70
- energy of formation (meV/atom) = 848.1



[3]
DFT (PBE) results for crystalline Tc3Ru at its relaxed geometry.

CIF file:
```
data_Tc3Ru
_chemical_formula_sum 'Tc3 Ru1'
_cell_length_a 3.8649
_cell_length_b 3.8649
_cell_length_c 3.8649
_cell_angle_alpha 90.00
_cell_angle_beta 90.00
_cell_angle_gamma 90.00
_space_group_name_H-M_alt 'P m -3 m'
_space_group_IT_number 221
_space_group_name_Hall '-P 4 2 3'
loop_
_atom_site_label
_atom_site_fract_x
_atom_site_fract_y
_atom_site_fract_z
_atom_site_occupancy
Tc1 0.0000 0.0000 0.5000 1
Ru1 0.5000 0.5000 0.5000 1
```

Output
- theoretical density (g cm⁻³) = 11.36
- ΔE to the lowest computed polymorph (meV per atom) = 104
- Fermi-level density of states (states/eV per cell) = 5.74
- energy of formation (meV/atom) = 58.6